## RbSrMg (PBE-GGA)

Data for RbSrMg after structural relaxation.

Output
The calculation puts the formation energy at 0.0573 eV/atom. The value obtained for the volume is 51.28 Å³ per atom. The value obtained for the magnetization is 0.000 μB per atom.

a b c (Å): 4.3362 4.3421 16.3427
angles (deg): 90.09 89.96 89.99
Closest atoms and distances in Å follow each position.
Fractional coordinates of all 6 atoms:
1 Mg 0.7082 0.1283 0.4171  8 Sr 3.66-3.68, 1 Mg 3.87
2 Mg 0.7082 0.1253 0.1804  4 Sr 3.58-3.59, 1 Mg 3.87
3 Rb 0.7002 0.1267 0.7594  4 Rb 4.34, 4 Sr 4.70-4.74
4 Rb 0.2011 0.6241 0.0171  4 Mg 4.05-4.08, 4 Rb 4.34, 1 Sr 4.52
5 Sr 0.2074 0.6264 0.2936  8 Mg 3.58-3.68
6 Sr 0.2057 0.6283 0.5399  4 Mg 3.66-3.67, 1 Sr 4.02